VASP calculation (PBE with a Hubbard U) on a geometry-optimized ScCoPb2F structure.

Energy = -4.347 eV/atom
Calculated volume = 110.5 Å³ per cell

a = 5.398 Å, b = 5.398 Å, c = 3.792 Å
α = 90.00°, β = 90.00°, γ = 90.00°
Positions (direct):
Sc 0.000 0.000 0.000
Co 0.500 0.500 0.000
Pb 0.000 0.500 0.500
Pb 0.500 0.000 0.500
F 0.500 0.500 0.500

---

VASP calculation (PBE with a Hubbard U) on a geometry-optimized SrCoPbF6 structure.

Energy = -5.180 eV/atom
Calculated volume = 311.9 Å³ per cell

a = 5.343 Å, b = 5.343 Å, c = 10.924 Å
α = 90.00°, β = 90.00°, γ = 90.00°
Positions (direct):
Sr 0.000 0.000 0.000
Sr 0.500 0.500 0.500
Co 0.000 0.000 0.335
Co 0.500 0.500 0.835
Pb 0.000 0.000 0.669
Pb 0.500 0.500 0.169
F 0.178 0.178 0.187
F 0.181 0.181 0.480
F 0.225 0.225 0.838
F 0.275 0.725 0.338
F 0.319 0.681 0.980
F 0.322 0.678 0.687
F 0.678 0.322 0.687
F 0.681 0.319 0.980
F 0.725 0.275 0.338
F 0.775 0.775 0.838
F 0.819 0.819 0.480
F 0.822 0.822 0.187

---

VASP calculation (PBE with a Hubbard U) on a geometry-optimized CoTcPb2F structure.

Energy = -4.336 eV/atom
Calculated volume = 115.0 Å³ per cell

a = 5.128 Å, b = 5.128 Å, c = 4.372 Å
α = 90.00°, β = 90.00°, γ = 90.00°
Positions (direct):
Co 0.000 0.000 0.000
Tc 0.000 0.000 0.500
Pb 0.000 0.500 0.000
Pb 0.500 0.000 0.000
F 0.500 0.500 0.500

---

VASP calculation (PBE with a Hubbard U) on a geometry-optimized Co2TePbF structure.

Energy = -3.803 eV/atom
Calculated volume = 104.3 Å³ per cell

a = 4.569 Å, b = 4.569 Å, c = 4.998 Å
α = 90.00°, β = 90.00°, γ = 90.00°
Positions (direct):
Co 0.000 0.500 0.000
Co 0.500 0.000 0.000
Te 0.000 0.000 0.500
Pb 0.500 0.500 0.500
F 0.500 0.500 0.000

---

VASP calculation (PBE with a Hubbard U) on a geometry-optimized TiCoPbF2 structure.

Energy = -4.002 eV/atom
Calculated volume = 100.7 Å³ per cell

a = 4.393 Å, b = 4.393 Å, c = 5.217 Å
α = 90.00°, β = 90.00°, γ = 90.00°
Positions (direct):
Ti 0.000 0.000 0.000
Co 0.500 0.500 0.000
Pb 0.500 0.500 0.500
F 0.000 0.500 0.500
F 0.500 0.000 0.500

---

VASP calculation (PBE with a Hubbard U) on a geometry-optimized Tl2CoPbF6 structure.

Energy = -4.495 eV/atom
Calculated volume = 186.7 Å³ per cell

a = 6.191 Å, b = 6.191 Å, c = 4.872 Å
α = 90.00°, β = 90.00°, γ = 90.00°
Positions (direct):
Tl 0.000 0.500 0.000
Tl 0.500 0.000 0.000
Co 0.000 0.000 0.557
Pb 0.500 0.500 0.512
F 0.000 0.000 0.129
F 0.228 0.228 0.611
F 0.228 0.772 0.611
F 0.500 0.500 0.994
F 0.772 0.228 0.611
F 0.772 0.772 0.611

---

VASP calculation (PBE with a Hubbard U) on a geometry-optimized Tl2CoPbF structure.

Energy = -3.264 eV/atom
Calculated volume = 125.0 Å³ per cell

a = 5.044 Å, b = 5.044 Å, c = 4.914 Å
α = 90.00°, β = 90.00°, γ = 90.00°
Positions (direct):
Tl 0.000 0.500 0.000
Tl 0.500 0.000 0.000
Co 0.000 0.000 0.000
Pb 0.000 0.000 0.500
F 0.500 0.500 0.500

---

VASP calculation (PBE with a Hubbard U) on a geometry-optimized ZnCo2PbF8 structure.

Energy = -4.702 eV/atom
Calculated volume = 169.1 Å³ per cell

a = 4.992 Å, b = 6.759 Å, c = 5.012 Å
α = 90.00°, β = 91.62°, γ = 90.00°
Positions (direct):
Zn 0.000 0.000 0.000
Co 0.500 0.235 0.500
Co 0.500 0.765 0.500
Pb 0.000 0.500 0.000
F 0.205 0.214 0.214
F 0.205 0.786 0.214
F 0.308 0.000 0.698
F 0.342 0.500 0.676
F 0.658 0.500 0.324
F 0.692 0.000 0.302
F 0.795 0.214 0.786
F 0.795 0.786 0.786

---

VASP calculation (PBE with a Hubbard U) on a geometry-optimized Co2PdF2 structure.

Energy above the lowest structure with this stoichiometry = 0.0 meV/atom
Energy = -4.742 eV/atom
Calculated volume = 61.9 Å³ per cell

a = 5.922 Å, b = 5.922 Å, c = 5.922 Å
α = 146.83°, β = 146.83°, γ = 47.62°
Positions (direct):
Co 0.129 0.129 0.000
Co 0.871 0.871 0.000
Pd 0.500 0.500 0.000
F 0.250 0.750 0.500
F 0.750 0.250 0.500

---

VASP calculation (PBE with a Hubbard U) on a geometry-optimized CoPd3F9 structure.

Energy = -4.189 eV/atom
Calculated volume = 440.5 Å³ per cell

a = 6.626 Å, b = 6.626 Å, c = 11.321 Å
α = 108.36°, β = 108.36°, γ = 74.88°
Positions (direct):
Co 0.079 0.921 0.500
Co 0.921 0.079 0.000
Pd 0.114 0.474 0.714
Pd 0.321 0.708 0.285
Pd 0.399 0.906 0.803
Pd 0.474 0.114 0.214
Pd 0.708 0.321 0.785
Pd 0.906 0.399 0.303
F 0.078 0.645 0.337
F 0.088 0.164 0.652
F 0.139 0.785 0.793
F 0.164 0.088 0.152
F 0.229 0.997 0.404
F 0.333 0.797 0.604
F 0.402 0.410 0.176
F 0.410 0.402 0.676
F 0.456 0.985 0.989
F 0.541 0.811 0.240
F 0.645 0.078 0.837
F 0.785 0.139 0.293
F 0.797 0.333 0.104
F 0.811 0.541 0.740
F 0.811 0.916 0.489
F 0.916 0.811 0.989
F 0.985 0.456 0.489
F 0.997 0.229 0.904

---

VASP calculation (PBE with a Hubbard U) on a geometry-optimized Co3PdF structure.

Energy = -3.582 eV/atom
Calculated volume = 109.4 Å³ per cell

a = 4.783 Å, b = 4.783 Å, c = 4.783 Å
α = 90.00°, β = 90.00°, γ = 90.00°
Positions (direct):
Co 0.000 0.000 0.500
Co 0.000 0.500 0.000
Co 0.500 0.000 0.000
Pd 0.000 0.000 0.000
F 0.500 0.500 0.500

---

VASP calculation (PBE with a Hubbard U) on a geometry-optimized Co2PdF6 structure.

Energy = -4.398 eV/atom
Calculated volume = 111.6 Å³ per cell

a = 5.189 Å, b = 5.189 Å, c = 4.789 Å
α = 90.00°, β = 90.00°, γ = 120.00°
Positions (direct):
Co 0.333 0.667 0.000
Co 0.667 0.333 0.000
Pd 0.000 0.000 0.500
F 0.000 0.357 0.219
F 0.000 0.643 0.781
F 0.357 0.000 0.219
F 0.357 0.357 0.781
F 0.643 0.000 0.781
F 0.643 0.643 0.219

---

VASP calculation (PBE with a Hubbard U) on a geometry-optimized CoPdF4 structure.

Energy = -4.556 eV/atom
Calculated volume = 159.6 Å³ per cell

a = 5.862 Å, b = 4.960 Å, c = 5.861 Å
α = 90.00°, β = 110.51°, γ = 90.00°
Positions (direct):
Co 0.000 0.000 0.000
Co 0.000 0.500 0.500
Pd 0.500 0.000 0.500
Pd 0.500 0.500 0.000
F 0.132 0.195 0.341
F 0.132 0.305 0.841
F 0.342 0.660 0.629
F 0.342 0.840 0.129
F 0.658 0.160 0.871
F 0.658 0.340 0.371
F 0.868 0.695 0.159
F 0.868 0.805 0.659

---

VASP calculation (PBE with a Hubbard U) on a geometry-optimized Co2PdF2 structure.

Energy above the lowest structure with this stoichiometry = 469.8 meV/atom
Energy = -4.272 eV/atom
Calculated volume = 144.7 Å³ per cell

a = 7.251 Å, b = 7.251 Å, c = 2.751 Å
α = 90.00°, β = 90.00°, γ = 90.00°
Positions (direct):
Co 0.231 0.269 0.000
Co 0.269 0.769 0.000
Co 0.731 0.231 0.000
Co 0.769 0.731 0.000
Pd 0.000 0.000 0.000
Pd 0.500 0.500 0.000
F 0.124 0.624 0.500
F 0.376 0.124 0.500
F 0.624 0.876 0.500
F 0.876 0.376 0.500

---

VASP calculation (PBE with a Hubbard U) on a geometry-optimized CoPdF3 structure.

Energy = -3.797 eV/atom
Calculated volume = 77.0 Å³ per cell

a = 4.255 Å, b = 4.255 Å, c = 4.255 Å
α = 90.00°, β = 90.00°, γ = 90.00°
Positions (direct):
Co 0.000 0.000 0.000
Pd 0.500 0.500 0.500
F 0.000 0.500 0.500
F 0.500 0.000 0.500
F 0.500 0.500 0.000

---

VASP calculation (PBE with a Hubbard U) on a geometry-optimized CoPd2F8 structure.

Energy = -3.993 eV/atom
Calculated volume = 151.2 Å³ per cell

a = 4.181 Å, b = 6.458 Å, c = 6.463 Å
α = 60.04°, β = 90.00°, γ = 90.00°
Positions (direct):
Co 0.000 0.000 0.000
Pd 0.235 0.333 0.334
Pd 0.765 0.667 0.666
F 0.248 0.149 0.150
F 0.248 0.150 0.701
F 0.248 0.701 0.148
F 0.264 0.667 0.666
F 0.736 0.333 0.334
F 0.752 0.299 0.852
F 0.752 0.850 0.299
F 0.752 0.851 0.850

---

VASP calculation (PBE with a Hubbard U) on a geometry-optimized Rb2CoPdF6 structure.

Energy = -4.441 eV/atom
Calculated volume = 334.9 Å³ per cell

a = 10.849 Å, b = 10.849 Å, c = 10.849 Å
α = 32.88°, β = 32.88°, γ = 32.88°
Positions (direct):
Rb 0.128 0.128 0.128
Rb 0.287 0.287 0.287
Rb 0.713 0.713 0.713
Rb 0.872 0.872 0.872
Co 0.000 0.000 0.000
Co 0.500 0.500 0.500
Pd 0.410 0.410 0.410
Pd 0.590 0.590 0.590
F 0.151 0.613 0.613
F 0.197 0.197 0.721
F 0.197 0.721 0.197
F 0.279 0.803 0.803
F 0.387 0.387 0.849
F 0.387 0.849 0.387
F 0.613 0.151 0.613
F 0.613 0.613 0.151
F 0.721 0.197 0.197
F 0.803 0.279 0.803
F 0.803 0.803 0.279
F 0.849 0.387 0.387

---

VASP calculation (PBE with a Hubbard U) on a geometry-optimized Rb2Co3PdF12 structure.

Energy = -4.590 eV/atom
Calculated volume = 289.0 Å³ per cell

a = 7.445 Å, b = 7.445 Å, c = 7.445 Å
α = 59.58°, β = 59.58°, γ = 59.58°
Positions (direct):
Rb 0.113 0.113 0.113
Rb 0.887 0.887 0.887
Co 0.000 0.500 0.500
Co 0.500 0.000 0.500
Co 0.500 0.500 0.000
Pd 0.500 0.500 0.500
F 0.172 0.576 0.576
F 0.179 0.179 0.575
F 0.179 0.575 0.179
F 0.424 0.424 0.828
F 0.424 0.828 0.424
F 0.425 0.821 0.821
F 0.575 0.179 0.179
F 0.576 0.172 0.576
F 0.576 0.576 0.172
F 0.821 0.425 0.821
F 0.821 0.821 0.425
F 0.828 0.424 0.424

---

VASP calculation (PBE with a Hubbard U) on a geometry-optimized Rb2CoPd3F12 structure.

Energy = -4.232 eV/atom
Calculated volume = 300.7 Å³ per cell

a = 7.571 Å, b = 7.571 Å, c = 7.571 Å
α = 59.13°, β = 59.13°, γ = 59.13°
Positions (direct):
Rb 0.138 0.138 0.138
Rb 0.862 0.862 0.862
Co 0.500 0.500 0.500
Pd 0.000 0.500 0.500
Pd 0.500 0.000 0.500
Pd 0.500 0.500 0.000
F 0.160 0.160 0.567
F 0.160 0.567 0.160
F 0.202 0.568 0.568
F 0.432 0.432 0.798
F 0.432 0.798 0.432
F 0.433 0.840 0.840
F 0.567 0.160 0.160
F 0.568 0.202 0.568
F 0.568 0.568 0.202
F 0.798 0.432 0.432
F 0.840 0.433 0.840
F 0.840 0.840 0.433

---

VASP calculation (PBE with a Hubbard U) on a geometry-optimized ScCoPd2F structure.

Energy above the lowest structure with this stoichiometry = 353.6 meV/atom
Energy = -4.847 eV/atom
Calculated volume = 82.5 Å³ per cell

a = 4.679 Å, b = 4.679 Å, c = 3.769 Å
α = 90.00°, β = 90.00°, γ = 90.00°
Positions (direct):
Sc 0.000 0.000 0.000
Co 0.500 0.500 0.000
Pd 0.000 0.500 0.500
Pd 0.500 0.000 0.500
F 0.500 0.500 0.500

---

VASP calculation (PBE with a Hubbard U) on a geometry-optimized ScCoPd2F structure.

Energy above the lowest structure with this stoichiometry = 0.0 meV/atom
Energy = -5.201 eV/atom
Calculated volume = 94.6 Å³ per cell

a = 4.941 Å, b = 4.941 Å, c = 3.876 Å
α = 90.00°, β = 90.00°, γ = 90.00°
Positions (direct):
Sc 0.000 0.000 0.000
Co 0.500 0.500 0.500
Pd 0.000 0.500 0.000
Pd 0.500 0.000 0.000
F 0.000 0.000 0.500

---

VASP calculation (PBE with a Hubbard U) on a geometry-optimized TiCoPdF2 structure.

Energy = -5.615 eV/atom
Calculated volume = 80.8 Å³ per cell

a = 3.813 Å, b = 3.813 Å, c = 5.556 Å
α = 90.00°, β = 90.00°, γ = 90.00°
Positions (direct):
Ti 0.000 0.000 0.000
Co 0.500 0.500 0.500
Pd 0.000 0.000 0.500
F 0.000 0.500 0.000
F 0.500 0.000 0.000